RePd2O6, relaxed, DFT PBE; DFT total energy = -0.4899 Ry per atom; spin magnetization = 0.000 μB per atom; formation energy from raw total energies = -823 meV/atom
1.0
-4.274 -2.000 -0.365
1.518 -2.574 -3.669
2.680 -6.802 5.881
O Pd Re
12 4 2
direct
0.813 0.187 0.842
0.287 0.287 0.000
0.687 0.687 0.658
0.787 0.213 0.500
0.187 0.813 0.158
0.713 0.713 0.000
0.213 0.787 0.500
0.813 0.187 0.158
0.187 0.813 0.842
0.313 0.313 0.658
0.313 0.313 0.342
0.687 0.687 0.342
0.000 0.000 0.666
0.500 0.500 0.834
0.000 0.000 0.334
0.500 0.500 0.166
0.000 0.000 0.000
0.500 0.500 0.500